# 1
Tc2TeO (PBE, relaxed); energy relative to the elements, uncorrected = -0.08 eV/atom; space-group type = I-42d; distance to the lowest polymorph of the same formula = 0.000 kcal/mol of atoms
1.0
-2.983 -3.101 1.391
2.831 -3.291 -1.267
2.743 -3.144 6.224
Te Tc O
2 4 2
Cartesian
0.000 0.000 0.000
-0.158 -4.721 3.838
-0.437 -2.732 2.086
1.694 -3.634 1.119
2.368 -5.183 4.550
1.555 -7.524 4.941
-0.076 -3.196 0.062
2.748 -4.816 2.509

# 2
PrHfAs2 (PBE, relaxed); formation enthalpy at 0 K = -1.233 eV/atom; space-group type = R-3m; distance to the lowest polymorph of the same formula = 0.000 kcal/mol of atoms
1.0
4.030 0.000 0.000
2.015 3.490 0.000
2.015 1.163 6.705
Pr As Hf
1 2 1
Cartesian
4.030 2.326 3.352
2.015 1.163 1.474
6.044 3.490 5.231
0.000 0.000 0.000

# 3
HfGeTe2Rh (PBE, relaxed); energy relative to the elements, uncorrected = 0.70 eV/atom; space-group type = P4/mmm
1.0
-2.804 -1.455 4.446
3.304 -3.853 0.823
3.099 3.305 3.036
Rh Ge Te Hf
1 1 2 1
Cartesian
1.799 -1.001 4.152
1.652 -1.927 0.412
1.549 1.653 1.518
-1.402 -0.727 2.223
0.000 0.000 0.000

# 4
AlCd4Ir (PBE, relaxed); formation enthalpy at 0 K = 0.417 eV/atom; space-group type = F-43m
1.0
3.206 -4.051 1.904
-1.289 -5.250 -1.040
3.072 -2.950 -3.489
Al Cd Ir
1 4 1
Cartesian
0.000 0.000 0.000
3.471 -6.618 -0.036
3.404 -6.069 -2.725
1.229 -7.216 -1.504
1.872 -4.598 -0.985
3.741 -9.188 -1.969

# 5
Sc2Ga2I (PBE, relaxed); energy relative to the elements, uncorrected = -0.44 eV/atom; space-group type = P4/mbm
1.0
7.912 0.000 0.000
0.000 7.912 0.000
0.000 0.000 3.656
I Sc Ga
2 4 4
Cartesian
0.000 0.000 0.000
3.956 3.956 0.000
2.519 6.475 0.000
6.475 5.393 0.000
5.393 1.437 0.000
1.437 2.519 0.000
0.895 4.851 1.828
4.851 7.017 1.828
7.017 3.061 1.828
3.061 0.895 1.828

# 6
NiHS2N (PBE, relaxed); space-group type = P4/mmm; distance to the lowest polymorph of the same formula = 4.178 kcal/mol of atoms
1.0
-2.172 0.055 -4.150
3.984 -1.287 -2.102
-0.837 -3.234 0.395
Ni S H N
1 2 1 1
Cartesian
0.000 0.000 0.000
1.992 -0.644 -1.051
-1.086 0.028 -2.075
0.488 -2.233 -2.929
-0.418 -1.617 0.197

# 7
Np4CrGa12 (PBE, relaxed); formation enthalpy at 0 K = -0.169 eV/atom; space-group type = Im-3m
1.0
-3.088 -1.161 -6.681
7.322 -1.323 -0.384
-3.093 -4.582 4.995
Np Cr Ga
4 1 12
Cartesian
-1.546 -2.291 2.498
-1.544 -0.580 -3.340
0.571 -3.533 -1.035
3.661 -0.661 -0.192
0.000 0.000 0.000
1.205 -1.682 1.313
3.025 -4.223 3.298
3.028 -1.776 -5.052
1.206 -0.708 -2.013
-1.761 -1.636 -0.480
-4.420 -4.107 -1.205
-2.033 -4.348 0.310
3.175 -2.718 -2.380
-2.032 -3.492 -2.609
3.173 -3.573 0.539
0.572 -2.678 -3.954
0.570 -4.388 1.884

# 8
Rb5NpS6 (PBE, relaxed); energy relative to the elements, uncorrected = -1.11 eV/atom; space-group type = C2/m
1.0
7.642 -1.089 -1.346
-4.583 7.310 -2.681
-0.038 0.006 7.961
Np S Rb
1 6 5
Cartesian
0.000 0.000 0.000
-0.551 2.254 1.030
-3.255 6.680 -0.612
2.079 0.971 -1.030
0.980 5.250 -2.997
6.276 -0.453 4.546
3.572 3.973 2.905
-1.304 5.718 2.596
2.026 4.147 -0.035
-2.291 3.655 -1.341
0.995 2.080 3.969
4.325 0.509 1.338